DFT (PBE+U) results for AcCoAg2O4 after structural relaxation.

The structure in POSCAR format:
```
AcCoAg2O4
1.0
-3.0019 3.1487 3.3067
3.0019 -3.1487 3.3067
3.0019 3.1487 -3.3067
Ac Co Ag O
1 1 2 4
Direct
0.0000 0.0000 0.0000
0.5000 0.5000 0.0000
0.2831 0.7831 0.5000
0.7169 0.2169 0.5000
0.1575 0.1412 0.6680
0.4732 0.4895 0.3320
0.5268 0.8588 0.0163
0.8425 0.5105 0.9837
```

Output
Magnetic moment in μB/f.u.: 4.0
D(E_F) in states/eV/f.u.: 0.11
Total energy in eV per atom: -5.59